# 1
Material: Na4Y2Br9
Method: DFT, PBE
State: relaxed

Structure (POSCAR):
```
Na4Y2Br9
1.0
7.4694 0.0000 0.0000
3.7328 6.4745 0.0000
0.0170 0.0286 19.8956
Na Y Br
8 4 18
Direct
0.1653 0.1672 0.1738 Na
0.1662 0.1657 0.9830 Na
0.1671 0.1662 0.4820 Na
0.1682 0.1657 0.6748 Na
0.8318 0.8343 0.3252 Na
0.8329 0.8338 0.5180 Na
0.8338 0.8343 0.0170 Na
0.8347 0.8328 0.8262 Na
0.4990 0.5016 0.1616 Y
0.4997 0.4992 0.3386 Y
0.5003 0.5008 0.6614 Y
0.5010 0.4984 0.8384 Y
0.1628 0.5243 0.4131 Br
0.1647 0.8118 0.9126 Br
0.1862 0.4785 0.0871 Br
0.1873 0.8379 0.5873 Br
0.1898 0.5002 0.7499 Br
0.1897 0.8111 0.2502 Br
0.4756 0.1890 0.5870 Br
0.4759 0.8374 0.0866 Br
0.4976 0.1909 0.2499 Br
0.5024 0.8091 0.7501 Br
0.5241 0.1626 0.9134 Br
0.5244 0.8110 0.4130 Br
0.8103 0.1889 0.7498 Br
0.8102 0.4998 0.2501 Br
0.8127 0.1621 0.4127 Br
0.8138 0.5215 0.9129 Br
0.8353 0.1882 0.0874 Br
0.8372 0.4757 0.5869 Br
```

Calculated values
The value obtained for the total magnetic moment is 0.07 μB/atom. Its uncorrected formation energy is -24.95 eV per formula unit. Its crystal system is triclinic.

---

# 2
Material: NaYBr4
Method: DFT, PBE
State: relaxed

Structure (POSCAR):
```
NaYBr4
1.0
4.2011 -8.4043 0.0000
4.2011 8.4043 0.0000
-3.2897 0.0000 6.4181
Na Y Br
2 2 8
Direct
0.2023 0.7977 0.7500 Na
0.7977 0.2023 0.2500 Na
0.0692 0.9308 0.2500 Y
0.9308 0.0692 0.7500 Y
0.0380 0.3990 0.7076 Br
0.1505 0.2644 0.1890 Br
0.2644 0.1505 0.6890 Br
0.3990 0.0380 0.2076 Br
0.6010 0.9620 0.7924 Br
0.7356 0.8495 0.3110 Br
0.8495 0.7356 0.8110 Br
0.9620 0.6010 0.2924 Br
```

Calculated values
The value obtained for the total magnetic moment is 0.00 μB/atom. Its uncorrected formation energy is -10.58 eV per formula unit. Its crystal system is monoclinic.

---

# 3
Material: NaYBr2
Method: DFT, PBE
State: relaxed

Structure (POSCAR):
```
NaYBr2
1.0
2.0219 1.1674 9.0696
-2.0219 1.1674 9.0696
0.0000 -2.3347 9.0696
Na Y Br
1 1 2
Direct
0.0000 0.0000 0.0000 Na
0.5000 0.5000 0.5000 Y
0.3979 0.3979 0.3979 Br
0.6021 0.6021 0.6021 Br
```

Calculated values
The value obtained for the total magnetic moment is 0.00 μB/atom. Its uncorrected formation energy is -4.70 eV per formula unit. Its crystal system is trigonal.

---

# 4
Material: NaYBr2
Method: DFT, PBE
State: relaxed

Structure (POSCAR):
```
NaYBr2
1.0
-3.4979 3.4979 5.8434
3.4979 -3.4979 5.8434
3.4979 3.4979 -5.8434
Na Y Br
2 2 4
Direct
0.0000 0.0000 0.0000 Na
0.7500 0.2500 0.5000 Na
0.2500 0.7500 0.5000 Y
0.5000 0.5000 0.0000 Y
0.1158 0.6250 0.9908 Br
0.3750 0.3658 0.4908 Br
0.6342 0.1250 0.0092 Br
0.8750 0.8842 0.5092 Br
```

Calculated values
The value obtained for the total magnetic moment is 0.46 μB/atom. Its uncorrected formation energy is -3.60 eV per formula unit. Its crystal system is tetragonal.

---

# 5
Material: NaYBr3
Method: DFT, PBE
State: relaxed

Structure (POSCAR):
```
NaYBr3
1.0
5.6338 0.0000 0.0000
0.0000 5.6338 0.0000
0.0000 0.0000 5.6338
Na Y Br
1 1 3
Direct
0.0000 0.0000 0.0000 Na
0.5000 0.5000 0.5000 Y
0.0000 0.5000 0.5000 Br
0.5000 0.0000 0.5000 Br
0.5000 0.5000 0.0000 Br
```

Calculated values
The value obtained for the total magnetic moment is 0.00 μB/atom. Its uncorrected formation energy is -6.81 eV per formula unit. Its crystal system is cubic.

---

# 6
Material: Na2Y2Br7
Method: DFT, PBE
State: relaxed

Structure (POSCAR):
```
Na2Y2Br7
1.0
6.1563 -4.3891 0.0000
6.1563 4.3891 0.0000
-0.4220 0.0000 7.0618
Na Y Br
2 2 7
Direct
0.2311 0.7689 0.0000 Na
0.7689 0.2311 0.0000 Na
0.2682 0.2682 0.5618 Y
0.7318 0.7318 0.4382 Y
0.0074 0.5893 0.7429 Br
0.0777 0.0777 0.7460 Br
0.4107 0.9926 0.2571 Br
0.5000 0.5000 0.5000 Br
0.5893 0.0074 0.7429 Br
0.9223 0.9223 0.2540 Br
0.9926 0.4107 0.2571 Br
```

Calculated values
The value obtained for the total magnetic moment is 0.08 μB/atom. Its uncorrected formation energy is -17.21 eV per formula unit. Its crystal system is monoclinic.

---

# 7
Material: NaYBr2
Method: DFT, PBE
State: relaxed

Structure (POSCAR):
```
NaYBr2
1.0
0.0000 3.7006 3.7006
3.7006 0.0000 3.7006
3.7006 3.7006 0.0000
Na Y Br
1 1 2
Direct
0.0000 0.0000 0.0000 Na
0.5000 0.5000 0.5000 Y
0.2500 0.2500 0.2500 Br
0.7500 0.7500 0.7500 Br
```

Calculated values
The value obtained for the total magnetic moment is 0.47 μB/atom. Its uncorrected formation energy is -3.42 eV per formula unit. Its crystal system is cubic.

---

# 8
Material: Na2YBr5
Method: DFT, PBE
State: relaxed

Structure (POSCAR):
```
Na2YBr5
1.0
12.8270 0.0000 0.0000
0.0000 8.7406 0.0000
0.0000 0.0000 8.3086
Na Y Br
8 4 20
Direct
0.1767 0.0079 0.0236 Na
0.1767 0.4921 0.0236 Na
0.3233 0.5079 0.5236 Na
0.3233 0.9921 0.5236 Na
0.6767 0.0079 0.4764 Na
0.6767 0.4921 0.4764 Na
0.8233 0.5079 0.9764 Na
0.8233 0.9921 0.9764 Na
0.0079 0.7500 0.5824 Y
0.4921 0.2500 0.0824 Y
0.5079 0.7500 0.9176 Y
0.9921 0.2500 0.4176 Y
0.0146 0.7500 0.9375 Br
0.0855 0.0463 0.6619 Br
0.0855 0.4537 0.6619 Br
0.1821 0.7500 0.3666 Br
0.2051 0.2500 0.3163 Br
0.2949 0.7500 0.8163 Br
0.3179 0.2500 0.8666 Br
0.4145 0.5463 0.1619 Br
0.4145 0.9537 0.1619 Br
0.4854 0.2500 0.4375 Br
0.5146 0.7500 0.5625 Br
0.5855 0.0463 0.8381 Br
0.5855 0.4537 0.8381 Br
0.6821 0.7500 0.1334 Br
0.7051 0.2500 0.1837 Br
0.7949 0.7500 0.6837 Br
0.8179 0.2500 0.6334 Br
0.9145 0.5463 0.3381 Br
0.9145 0.9537 0.3381 Br
0.9854 0.2500 0.0625 Br
```

Calculated values
The value obtained for the total magnetic moment is 0.00 μB/atom. Its uncorrected formation energy is -13.45 eV per formula unit. Its crystal system is orthorhombic.

---

# 9
Material: Na2YBr6
Method: DFT, PBE
State: relaxed

Structure (POSCAR):
```
Na2YBr6
1.0
6.2841 -2.1482 0.0000
6.2841 2.1482 0.0000
-5.8183 0.0000 11.7248
Na Y Br
2 1 6
Direct
0.1295 0.1295 0.3330 Na
0.8705 0.8705 0.6670 Na
0.5000 0.5000 0.0000 Y
0.0980 0.0980 0.9239 Br
0.3095 0.3095 0.7852 Br
0.3950 0.3950 0.5202 Br
0.6050 0.6050 0.4798 Br
0.6905 0.6905 0.2148 Br
0.9020 0.9020 0.0761 Br
```

Calculated values
The value obtained for the total magnetic moment is 0.09 μB/atom. Its uncorrected formation energy is -12.91 eV per formula unit. Its crystal system is monoclinic.

---

# 10
Material: NaYBr3
Method: DFT, PBE
State: relaxed

Structure (POSCAR):
```
NaYBr3
1.0
7.8594 0.0000 0.0000
-3.9297 6.8064 0.0000
0.0000 0.0000 6.6946
Na Y Br
2 2 6
Direct
0.3333 0.6667 0.2500 Na
0.6667 0.3333 0.7500 Na
0.0000 0.0000 0.0000 Y
0.0000 0.0000 0.5000 Y
0.1713 0.3427 0.7500 Br
0.1713 0.8287 0.7500 Br
0.3427 0.1713 0.2500 Br
0.6573 0.8287 0.7500 Br
0.8287 0.1713 0.2500 Br
0.8287 0.6573 0.2500 Br
```

Calculated values
The value obtained for the total magnetic moment is 0.00 μB/atom. Its uncorrected formation energy is -7.20 eV per formula unit. Its crystal system is hexagonal.

---

# 11
Material: NaY3Br
Method: DFT, PBE
State: relaxed

Structure (POSCAR):
```
NaY3Br
1.0
5.4804 0.0000 0.0000
0.0000 5.4804 0.0000
0.0000 0.0000 5.4804
Na Y Br
1 3 1
Direct
0.0000 0.0000 0.0000 Na
0.0000 0.5000 0.5000 Y
0.5000 0.0000 0.5000 Y
0.5000 0.5000 0.0000 Y
0.5000 0.5000 0.5000 Br
```

Calculated values
The value obtained for the total magnetic moment is 0.00 μB/atom. Its uncorrected formation energy is -0.07 eV per formula unit. Its crystal system is cubic.

---

no.,final energy (eV per cell)
1,-116.426
2,-50.107
3,-15.829
4,-29.450
5,-19.610
6,-44.491
7,-14.552
8,-123.670
9,-32.054
10,-40.011
11,-22.458